Entry 1:
# PmLuSi2 | the Alexandria database | GGA-PBE | optimized geometry
# Formation energy (no corrections) = -169 kJ/mol of formula units
# Total magnetic moment = 0.00 μB per formula unit
data_PmLuSi2
_chemical_formula_sum 'Pm1 Lu1 Si2'
_space_group_name_H-M_alt 'P 4/m m m'
_space_group_IT_number 123
_space_group_name_Hall '-P 4 2'
_cell_length_a 4.6751
_cell_length_b 4.6751
_cell_length_c 3.9914
_cell_angle_alpha 90.00
_cell_angle_beta 90.00
_cell_angle_gamma 90.00
loop_
_atom_site_label
_atom_site_type_symbol
_atom_site_fract_x
_atom_site_fract_y
_atom_site_fract_z
Pm1 Pm 0.0000 0.0000 0.0000
Lu1 Lu 0.5000 0.5000 0.0000
Si1 Si 0.0000 0.5000 0.5000

***

Entry 2:
# Y2ZnCuPd | the Alexandria database | GGA-PBE | optimized geometry
# DFT formation energy = -0.029 eV/atom
# Total magnetic moment = 0.00 μB per formula unit
data_Y2ZnCuPd
_chemical_formula_sum 'Y2 Zn1 Cu1 Pd1'
_space_group_name_H-M_alt 'P 4/m m m'
_space_group_IT_number 123
_space_group_name_Hall '-P 4 2'
_cell_length_a 5.2254
_cell_length_b 5.2254
_cell_length_c 4.4095
_cell_angle_alpha 90.00
_cell_angle_beta 90.00
_cell_angle_gamma 90.00
loop_
_atom_site_label
_atom_site_type_symbol
_atom_site_fract_x
_atom_site_fract_y
_atom_site_fract_z
Y1 Y 0.0000 0.5000 0.0000
Zn1 Zn 0.0000 0.0000 0.5000
Cu1 Cu 0.0000 0.0000 0.0000
Pd1 Pd 0.5000 0.5000 0.5000

***

Entry 3:
# ZnGaP2O | the Alexandria database | GGA-PBE | optimized geometry
# Formation energy (no corrections) = 233 kJ/mol of formula units
# Total magnetic moment = 0.00 μB per formula unit
# Energy above the most stable polymorph in this dataset = 0.60 eV/f.u.
data_ZnGaP2O
_chemical_formula_sum 'Zn1 Ga1 P2 O1'
_space_group_name_H-M_alt 'P 4/m m m'
_space_group_IT_number 123
_space_group_name_Hall '-P 4 2'
_cell_length_a 4.8887
_cell_length_b 4.8887
_cell_length_c 3.5994
_cell_angle_alpha 90.00
_cell_angle_beta 90.00
_cell_angle_gamma 90.00
loop_
_atom_site_label
_atom_site_type_symbol
_atom_site_fract_x
_atom_site_fract_y
_atom_site_fract_z
Zn1 Zn 0.0000 0.0000 0.0000
Ga1 Ga 0.5000 0.5000 0.5000
P1 P 0.0000 0.5000 0.0000
O1 O 0.0000 0.0000 0.5000

***

Entry 4:
# Rb2Bi5Pd3 | the Alexandria database | GGA-PBE | optimized geometry
# DFT formation energy = -0.275 eV/atom
# Total magnetic moment = 0.00 μB per formula unit
data_Rb2Bi5Pd3
_chemical_formula_sum 'Rb8 Bi20 Pd12'
_space_group_name_H-M_alt 'I b a m'
_space_group_IT_number 72
_space_group_name_Hall '-I 2 2c'
_cell_length_a 11.6167
_cell_length_b 14.2535
_cell_length_c 7.1694
_cell_angle_alpha 90.00
_cell_angle_beta 90.00
_cell_angle_gamma 90.00
loop_
_atom_site_label
_atom_site_type_symbol
_atom_site_fract_x
_atom_site_fract_y
_atom_site_fract_z
Rb1 Rb 0.2489 0.1353 0.0000
Bi1 Bi 0.0000 0.0000 0.2500
Bi2 Bi 0.0000 0.2483 0.2500
Bi3 Bi 0.1426 0.4009 0.0000
Pd1 Pd 0.0000 0.5000 0.2500
Pd2 Pd 0.1149 0.1257 0.5000

***

Entry 5:
# Tb3NdN | the Alexandria database | GGA-PBE | optimized geometry
# Formation energy (no corrections) = -236 kJ/mol of formula units
# Total magnetic moment = 0.42 μB per formula unit
data_Tb3NdN
_chemical_formula_sum 'Tb3 Nd1 N1'
_space_group_name_H-M_alt 'P m -3 m'
_space_group_IT_number 221
_space_group_name_Hall '-P 4 2 3'
_cell_length_a 5.0099
_cell_length_b 5.0099
_cell_length_c 5.0099
_cell_angle_alpha 90.00
_cell_angle_beta 90.00
_cell_angle_gamma 90.00
loop_
_atom_site_label
_atom_site_type_symbol
_atom_site_fract_x
_atom_site_fract_y
_atom_site_fract_z
Tb1 Tb 0.0000 0.0000 0.5000
Nd1 Nd 0.5000 0.5000 0.5000
N1 N 0.0000 0.0000 0.0000

***

Entry 6:
# K3AsS4 | the Alexandria database | GGA-PBE | optimized geometry
# Formation energy (no corrections) = -678 kJ/mol of formula units
# Total magnetic moment = 0.00 μB per formula unit
data_K3AsS4
_chemical_formula_sum 'K12 As4 S16'
_space_group_name_H-M_alt 'P n m a'
_space_group_IT_number 62
_space_group_name_Hall '-P 2ac 2n'
_cell_length_a 9.2454
_cell_length_b 10.7001
_cell_length_c 9.6109
_cell_angle_alpha 90.00
_cell_angle_beta 90.00
_cell_angle_gamma 90.00
loop_
_atom_site_label
_atom_site_type_symbol
_atom_site_fract_x
_atom_site_fract_y
_atom_site_fract_z
K1 K 0.0663 0.0451 0.2008
K2 K 0.1353 0.7500 0.4259
As1 As 0.2209 0.7500 0.9805
S1 S 0.0129 0.7500 0.0932
S2 S 0.1574 0.0804 0.5323
S3 S 0.1800 0.7500 0.7552

***

Entry 7:
# CuSiIO2 | the Alexandria database | GGA-PBE | optimized geometry
# Formation energy (no corrections) = -383 kJ/mol of formula units
# Total magnetic moment = 0.00 μB per formula unit
# Energy above the most stable polymorph in this dataset = 0.00 eV/f.u.
data_CuSiIO2
_chemical_formula_sum 'Cu1 Si1 I1 O2'
_space_group_name_H-M_alt 'P 4/m m m'
_space_group_IT_number 123
_space_group_name_Hall '-P 4 2'
_cell_length_a 3.5235
_cell_length_b 3.5235
_cell_length_c 6.3321
_cell_angle_alpha 90.00
_cell_angle_beta 90.00
_cell_angle_gamma 90.00
loop_
_atom_site_label
_atom_site_type_symbol
_atom_site_fract_x
_atom_site_fract_y
_atom_site_fract_z
Cu1 Cu 0.0000 0.0000 0.0000
Si1 Si 0.5000 0.5000 0.5000
I1 I 0.5000 0.5000 0.0000
O1 O 0.0000 0.5000 0.5000

***

Entry 8:
# Y3Te12Au5 | the Alexandria database | GGA-PBE | optimized geometry
# Formation energy (no corrections) = -850 kJ/mol of formula units
# Total magnetic moment = 0.00 μB per formula unit
data_Y3Te12Au5
_chemical_formula_sum 'Y24 Te96 Au40'
_space_group_name_H-M_alt 'I a -3 d'
_space_group_IT_number 230
_space_group_name_Hall '-I 4bd 2c 3'
_cell_length_a 17.1912
_cell_length_b 17.1912
_cell_length_c 17.1912
_cell_angle_alpha 90.00
_cell_angle_beta 90.00
_cell_angle_gamma 90.00
loop_
_atom_site_label
_atom_site_type_symbol
_atom_site_fract_x
_atom_site_fract_y
_atom_site_fract_z
Y1 Y 0.0000 0.2500 0.1250
Te1 Te 0.0186 0.0625 0.6513
Au1 Au 0.0000 0.0000 0.0000
Au2 Au 0.0000 0.2500 0.3750

***

Entry 9:
# Mg4TlSn2 | the Alexandria database | GGA-PBE | optimized geometry
# DFT formation energy = -0.048 eV/atom
# Total magnetic moment = 0.00 μB per formula unit
data_Mg4TlSn2
_chemical_formula_sum 'Mg8 Tl2 Sn4'
_space_group_name_H-M_alt 'P 1 21/m 1'
_space_group_IT_number 11
_space_group_name_Hall '-P 2yb'
_cell_length_a 7.6217
_cell_length_b 6.1425
_cell_length_c 8.1901
_cell_angle_alpha 90.00
_cell_angle_beta 113.12
_cell_angle_gamma 90.00
loop_
_atom_site_label
_atom_site_type_symbol
_atom_site_fract_x
_atom_site_fract_y
_atom_site_fract_z
Mg1 Mg 0.0604 0.2500 0.0563
Mg2 Mg 0.1499 0.7500 0.3594
Mg3 Mg 0.2539 0.0029 0.8066
Tl1 Tl 0.4654 0.2500 0.3350
Sn1 Sn 0.1090 0.2500 0.4421
Sn2 Sn 0.3810 0.7500 0.1481

***

Entry 10:
# TaGe2SbOs | the Alexandria database | GGA-PBE | optimized geometry
# Formation energy (no corrections) = 275 kJ/mol of formula units
# Total magnetic moment = 0.00 μB per formula unit
data_TaGe2SbOs
_chemical_formula_sum 'Ta1 Ge2 Sb1 Os1'
_space_group_name_H-M_alt 'P 4/m m m'
_space_group_IT_number 123
_space_group_name_Hall '-P 4 2'
_cell_length_a 4.6773
_cell_length_b 4.6773
_cell_length_c 5.1844
_cell_angle_alpha 90.00
_cell_angle_beta 90.00
_cell_angle_gamma 90.00
loop_
_atom_site_label
_atom_site_type_symbol
_atom_site_fract_x
_atom_site_fract_y
_atom_site_fract_z
Ta1 Ta 0.0000 0.0000 0.0000
Ge1 Ge 0.0000 0.5000 0.5000
Sb1 Sb 0.5000 0.5000 0.0000
Os1 Os 0.0000 0.0000 0.5000

***

Entry 11:
# Tl2BAu | the Alexandria database | GGA-PBE | optimized geometry
# DFT formation energy = 0.730 eV/atom
# Total magnetic moment = 0.00 μB per formula unit
# Energy above the most stable polymorph in this dataset = 0.00 eV/f.u.
data_Tl2BAu
_chemical_formula_sum 'Tl8 B4 Au4'
_space_group_name_H-M_alt 'I -4 2 d'
_space_group_IT_number 122
_space_group_name_Hall 'I -4 2bw'
_cell_length_a 5.9840
_cell_length_b 5.9840
_cell_length_c 11.8350
_cell_angle_alpha 90.00
_cell_angle_beta 90.00
_cell_angle_gamma 90.00
loop_
_atom_site_label
_atom_site_type_symbol
_atom_site_fract_x
_atom_site_fract_y
_atom_site_fract_z
Tl1 Tl 0.1498 0.2500 0.1250
B1 B 0.0000 0.0000 0.0000
Au1 Au 0.0000 0.0000 0.5000

***

Entry 12:
# DyZn3Au3 | the Alexandria database | GGA-PBE | optimized geometry
# DFT formation energy = -0.399 eV/atom
# Total magnetic moment = 0.00 μB per formula unit
# Energy above the most stable polymorph in this dataset = 0.00 eV/f.u.
data_DyZn3Au3
_chemical_formula_sum 'Dy6 Zn18 Au18'
_space_group_name_H-M_alt 'R -3'
_space_group_IT_number 148
_space_group_name_Hall '-R 3'
_cell_length_a 7.0338
_cell_length_b 7.0338
_cell_length_c 18.6855
_cell_angle_alpha 90.00
_cell_angle_beta 90.00
_cell_angle_gamma 120.00
loop_
_atom_site_label
_atom_site_type_symbol
_atom_site_fract_x
_atom_site_fract_y
_atom_site_fract_z
Dy1 Dy 0.0000 0.0000 0.1616
Zn1 Zn 0.0219 0.4195 0.3744
Au1 Au 0.0044 0.2448 0.5674

***

Entry 13:
# SbRhSCl2 | the Alexandria database | GGA-PBE | optimized geometry
# Formation energy (no corrections) = 28 kJ/mol of formula units
# Total magnetic moment = 0.00 μB per formula unit
# Energy above the most stable polymorph in this dataset = 0.00 eV/f.u.
data_SbRhSCl2
_chemical_formula_sum 'Sb1 Rh1 S1 Cl2'
_space_group_name_H-M_alt 'P 4/m m m'
_space_group_IT_number 123
_space_group_name_Hall '-P 4 2'
_cell_length_a 4.7157
_cell_length_b 4.7157
_cell_length_c 4.7843
_cell_angle_alpha 90.00
_cell_angle_beta 90.00
_cell_angle_gamma 90.00
loop_
_atom_site_label
_atom_site_type_symbol
_atom_site_fract_x
_atom_site_fract_y
_atom_site_fract_z
Sb1 Sb 0.0000 0.0000 0.0000
Rh1 Rh 0.5000 0.5000 0.5000
S1 S 0.5000 0.5000 0.0000
Cl1 Cl 0.0000 0.5000 0.5000

***

Entry 14:
# BaPuHgAu | the Alexandria database | GGA-PBE | optimized geometry
# DFT formation energy = -0.275 eV/atom
# Total magnetic moment = 6.00 μB per formula unit
data_BaPuHgAu
_chemical_formula_sum 'Ba4 Pu4 Hg4 Au4'
_space_group_name_H-M_alt 'F -4 3 m'
_space_group_IT_number 216
_space_group_name_Hall 'F -4 2 3'
_cell_length_a 7.8338
_cell_length_b 7.8338
_cell_length_c 7.8338
_cell_angle_alpha 90.00
_cell_angle_beta 90.00
_cell_angle_gamma 90.00
loop_
_atom_site_label
_atom_site_type_symbol
_atom_site_fract_x
_atom_site_fract_y
_atom_site_fract_z
Ba1 Ba 0.0000 0.0000 0.0000
Pu1 Pu 0.0000 0.0000 0.5000
Hg1 Hg 0.2500 0.2500 0.7500
Au1 Au 0.2500 0.2500 0.2500

***

Entry 15:
# LiEu2Pd | the Alexandria database | GGA-PBE | optimized geometry
# DFT formation energy = -0.149 eV/atom
# Total magnetic moment = 14.43 μB per formula unit
data_LiEu2Pd
_chemical_formula_sum 'Li3 Eu6 Pd3'
_space_group_name_H-M_alt 'R -3 m'
_space_group_IT_number 166
_space_group_name_Hall '-R 3 2"'
_cell_length_a 4.0125
_cell_length_b 4.0125
_cell_length_c 31.4116
_cell_angle_alpha 90.00
_cell_angle_beta 90.00
_cell_angle_gamma 120.00
loop_
_atom_site_label
_atom_site_type_symbol
_atom_site_fract_x
_atom_site_fract_y
_atom_site_fract_z
Li1 Li 0.0000 0.0000 0.0000
Eu1 Eu 0.0000 0.0000 0.1101
Pd1 Pd 0.0000 0.0000 0.5000

***

Entry 16:
# SmYBiTe | the Alexandria database | GGA-PBE | optimized geometry
# Formation energy (no corrections) = -441 kJ/mol of formula units
# Total magnetic moment = 0.00 μB per formula unit
data_SmYBiTe
_chemical_formula_sum 'Sm1 Y1 Bi1 Te1'
_space_group_name_H-M_alt 'P 4 m m'
_space_group_IT_number 99
_space_group_name_Hall 'P 4 -2'
_cell_length_a 4.4701
_cell_length_b 4.4701
_cell_length_c 6.3049
_cell_angle_alpha 90.00
_cell_angle_beta 90.00
_cell_angle_gamma 90.00
loop_
_atom_site_label
_atom_site_type_symbol
_atom_site_fract_x
_atom_site_fract_y
_atom_site_fract_z
Sm1 Sm 0.0000 0.0000 0.0000
Y1 Y 0.5000 0.5000 0.5016
Bi1 Bi 0.5000 0.5000 0.0015
Te1 Te 0.0000 0.0000 0.5002

***

Entry 17:
# Li5In2Ag2Hg | the Alexandria database | GGA-PBE | optimized geometry
# DFT formation energy = -0.218 eV/atom
# Total magnetic moment = 0.00 μB per formula unit
data_Li5In2Ag2Hg
_chemical_formula_sum 'Li10 In4 Ag4 Hg2'
_space_group_name_H-M_alt 'P 4/m b m'
_space_group_IT_number 127
_space_group_name_Hall '-P 4 2ab'
_cell_length_a 9.9290
_cell_length_b 9.9290
_cell_length_c 3.8211
_cell_angle_alpha 90.00
_cell_angle_beta 90.00
_cell_angle_gamma 90.00
loop_
_atom_site_label
_atom_site_type_symbol
_atom_site_fract_x
_atom_site_fract_y
_atom_site_fract_z
Li1 Li 0.0000 0.5000 0.0000
Li2 Li 0.0773 0.1913 0.0000
In1 In 0.1682 0.6682 0.5000
Ag1 Ag 0.1276 0.3724 0.5000
Hg1 Hg 0.0000 0.0000 0.5000

***

Entry 18:
# CaPm2In | the Alexandria database | GGA-PBE | optimized geometry
# DFT formation energy = -0.060 eV/atom
# Total magnetic moment = 0.47 μB per formula unit
# Energy above the most stable polymorph in this dataset = 0.69 eV/f.u.
data_CaPm2In
_chemical_formula_sum 'Ca4 Pm8 In4'
_space_group_name_H-M_alt 'F -4 3 m'
_space_group_IT_number 216
_space_group_name_Hall 'F -4 2 3'
_cell_length_a 7.9487
_cell_length_b 7.9487
_cell_length_c 7.9487
_cell_angle_alpha 90.00
_cell_angle_beta 90.00
_cell_angle_gamma 90.00
loop_
_atom_site_label
_atom_site_type_symbol
_atom_site_fract_x
_atom_site_fract_y
_atom_site_fract_z
Ca1 Ca 0.0000 0.0000 0.0000
Pm1 Pm 0.0000 0.0000 0.5000
Pm2 Pm 0.2500 0.2500 0.2500
In1 In 0.2500 0.2500 0.7500

***

Entry 19:
# RbPrCdTe3 | the Alexandria database | GGA-PBE | optimized geometry
# Formation energy (no corrections) = -622 kJ/mol of formula units
# Total magnetic moment = 0.00 μB per formula unit
data_RbPrCdTe3
_chemical_formula_sum 'Rb2 Pr2 Cd2 Te6'
_space_group_name_H-M_alt 'P 1 21/m 1'
_space_group_IT_number 11
_space_group_name_Hall '-P 2yb'
_cell_length_a 9.9570
_cell_length_b 4.6405
_cell_length_c 11.0241
_cell_angle_alpha 90.00
_cell_angle_beta 107.92
_cell_angle_gamma 90.00
loop_
_atom_site_label
_atom_site_type_symbol
_atom_site_fract_x
_atom_site_fract_y
_atom_site_fract_z
Rb1 Rb 0.2153 0.2500 0.2428
Pr1 Pr 0.3243 0.7500 0.8636
Cd1 Cd 0.0845 0.2500 0.6101
Te1 Te 0.0997 0.2500 0.8696
Te2 Te 0.2204 0.7500 0.5400
Te3 Te 0.4652 0.7500 0.1620

***

Entry 20:
# TbCd2In | the Alexandria database | GGA-PBE | optimized geometry
# DFT formation energy = -0.233 eV/atom
# Total magnetic moment = 0.00 μB per formula unit
# Energy above the most stable polymorph in this dataset = 0.38 eV/f.u.
data_TbCd2In
_chemical_formula_sum 'Tb1 Cd2 In1'
_space_group_name_H-M_alt 'P 1 2/m 1'
_space_group_IT_number 10
_space_group_name_Hall '-P 2y'
_cell_length_a 3.3446
_cell_length_b 5.0363
_cell_length_c 6.0231
_cell_angle_alpha 90.00
_cell_angle_beta 90.12
_cell_angle_gamma 90.00
loop_
_atom_site_label
_atom_site_type_symbol
_atom_site_fract_x
_atom_site_fract_y
_atom_site_fract_z
Tb1 Tb 0.0000 0.0000 0.0000
Cd1 Cd 0.4978 0.5000 0.7593
In1 In 0.5000 0.0000 0.5000